This record from Alexandria describes a crystal of Na6Bi2B4PO16 relaxed with PBEsol. The functional is SCAN.

Unit cell a=10.119 b=10.119 c=10.119 alpha=60.00 beta=60.00 gamma=60.00
Atoms (fractional coordinates):
Na: 0.077 0.077 0.673
Na: 0.077 0.673 0.077
Na: 0.077 0.673 0.673
Na: 0.327 0.327 0.923
Na: 0.327 0.923 0.327
Na: 0.327 0.923 0.923
Na: 0.673 0.077 0.077
Na: 0.673 0.077 0.673
Na: 0.673 0.673 0.077
Na: 0.923 0.327 0.327
Na: 0.923 0.327 0.923
Na: 0.923 0.923 0.327
Bi: 0.000 0.500 0.500
Bi: 0.500 0.000 0.500
Bi: 0.500 0.500 0.000
Bi: 0.500 0.500 0.500
B: 0.281 0.281 0.281
B: 0.281 0.281 0.657
B: 0.281 0.657 0.281
B: 0.343 0.719 0.719
B: 0.657 0.281 0.281
B: 0.719 0.343 0.719
B: 0.719 0.719 0.343
B: 0.719 0.719 0.719
P: 0.125 0.125 0.125
P: 0.875 0.875 0.875
O: 0.062 0.062 0.062
O: 0.062 0.062 0.313
O: 0.062 0.313 0.062
O: 0.138 0.292 0.659
O: 0.138 0.411 0.292
O: 0.138 0.659 0.411
O: 0.292 0.138 0.411
O: 0.292 0.411 0.659
O: 0.292 0.659 0.138
O: 0.313 0.062 0.062
O: 0.341 0.589 0.862
O: 0.341 0.708 0.589
O: 0.341 0.862 0.708
O: 0.411 0.138 0.659
O: 0.411 0.292 0.138
O: 0.411 0.659 0.292
O: 0.589 0.341 0.708
O: 0.589 0.708 0.862
O: 0.589 0.862 0.341
O: 0.659 0.138 0.292
O: 0.659 0.292 0.411
O: 0.659 0.411 0.138
O: 0.687 0.938 0.938
O: 0.708 0.341 0.862
O: 0.708 0.589 0.341
O: 0.708 0.862 0.589
O: 0.862 0.341 0.589
O: 0.862 0.589 0.708
O: 0.862 0.708 0.341
O: 0.938 0.687 0.938
O: 0.938 0.938 0.687
O: 0.938 0.938 0.938

Calculated values
size of the total moment	0.18	μB per cell
calculated volume	732.6	Å³/cell
E	-13.1696	eV per atom